# ClF4

A geometry-optimized ClF4 structure (GGA-PBE, Alexandria).

- Total moment: 0.99 μB/f.u.
- Formation energy from raw total energies: -0.55 eV/atom
- E above lowest polymorph: 0.0000 eV/atom

```
ClF4
1.0
5.483 0.000 0.000
0.000 5.483 0.000
0.000 0.000 6.022
Cl F
2 8
Cartesian
0.000 0.000 0.000
2.742 2.742 3.011
1.051 1.400 0.000
1.341 1.691 3.011
1.400 4.432 0.000
1.691 4.142 3.011
3.792 1.341 3.011
4.083 1.051 0.000
4.142 3.792 3.011
4.432 4.083 0.000
```